1.
This record from the Alexandria database describes crystalline AcTb4Dy10 at its relaxed geometry. The functional is PBE.

Structure (POSCAR):
```
AcTb4Dy10
1.0
6.056 0.000 2.735
3.028 9.011 1.367
-0.680 0.000 9.580
Dy Tb Ac
10 4 1
direct
0.379 0.579 0.162
0.250 0.500 0.500
0.750 0.500 0.500
0.542 0.838 0.579
0.458 0.162 0.421
0.880 0.579 0.162
0.042 0.838 0.579
0.120 0.421 0.838
0.621 0.421 0.838
0.958 0.162 0.421
0.321 0.246 0.112
0.679 0.754 0.888
0.567 0.112 0.754
0.433 0.888 0.246
0.000 0.000 0.000
```

Space-group type: I4/m
Formation enthalpy at 0 K, eV/atom: 0.5293

***

2.
This record from the Alexandria database describes crystalline Li4Br2N at its relaxed geometry. The functional is PBE.

Structure (POSCAR):
```
Li4Br2N
1.0
-0.249 -0.867 -3.980
3.900 -1.202 0.018
-0.135 -7.371 -0.477
Li Br N
4 2 1
direct
0.000 0.500 0.000
0.500 0.000 0.000
0.149 0.149 0.703
0.851 0.851 0.297
0.652 0.652 0.697
0.348 0.348 0.303
0.000 0.000 0.000
```

Uncorrected formation energy, meV/atom: -823.1
Space-group type: I4/mmm
Relative energy among the computed polymorphs, meV per atom: 0

***

3.
This record from the Alexandria database describes crystalline Ac2ZnSnPt at its relaxed geometry. The functional is PBE.

Structure (POSCAR):
```
Ac2ZnSnPt
1.0
-3.260 1.496 3.059
-2.298 -7.293 1.117
5.930 1.719 5.480
Sn Pt Ac Zn
2 2 4 2
direct
0.250 0.655 0.352
0.750 0.345 0.648
0.250 0.884 0.917
0.750 0.116 0.083
0.250 0.133 0.340
0.750 0.867 0.660
0.250 0.295 0.951
0.750 0.705 0.049
0.750 0.437 0.319
0.250 0.563 0.681
```

Space-group type: P2_1/m
Formation enthalpy at 0 K, eV/atom: -0.7727

***

4.
This record from the Alexandria database describes crystalline TiZn2RuS at its relaxed geometry. The functional is PBE.

Structure (POSCAR):
```
TiZn2RuS
1.0
-4.773 -0.505 -0.193
0.479 -4.183 -0.902
-0.082 -1.021 4.693
Ru Ti Zn S
1 1 2 1
direct
0.000 0.000 0.000
0.500 0.500 0.500
0.000 0.000 0.500
0.500 0.000 0.000
0.000 0.500 0.000
```

Uncorrected formation energy, meV/atom: 586.5
Space-group type: P4/mmm

***

5.
This record from the Alexandria database describes crystalline CuSiSbO6 at its relaxed geometry. The functional is PBE.

Structure (POSCAR):
```
CuSiSbO6
1.0
-3.890 -0.074 3.112
-0.677 -0.891 -4.855
1.258 -8.434 1.373
Si Cu O Sb
2 2 12 2
direct
0.667 0.333 0.250
0.333 0.667 0.750
0.000 0.000 0.500
0.000 0.000 0.000
0.630 0.660 0.633
0.340 0.970 0.633
0.370 0.340 0.367
0.370 0.030 0.133
0.030 0.660 0.867
0.630 0.970 0.867
0.030 0.370 0.633
0.660 0.030 0.367
0.970 0.340 0.133
0.660 0.630 0.133
0.970 0.630 0.367
0.340 0.370 0.867
0.333 0.667 0.250
0.667 0.333 0.750
```

Uncorrected formation energy, meV/atom: -1370.0
Space-group type: P-31c

***

6.
This record from the Alexandria database describes crystalline Cd4ReMo at its relaxed geometry. The functional is PBE.

Structure (POSCAR):
```
Cd4ReMo
1.0
0.615 -5.299 -0.917
-4.349 -3.178 -0.529
-1.264 -2.074 -4.837
Re Cd Mo
1 4 1
direct
0.000 0.000 0.000
0.875 0.375 0.375
0.375 0.375 0.375
0.375 0.375 0.875
0.375 0.875 0.375
0.750 0.750 0.750
```

Space-group type: F-43m
Formation enthalpy at 0 K, eV/atom: 0.8735

***

7.
This record from the Alexandria database describes crystalline MoP2NCl at its relaxed geometry. The functional is PBE.

Structure (POSCAR):
```
MoP2NCl
1.0
-2.143 0.621 -4.088
0.767 -4.464 -1.080
-4.383 -1.263 2.106
P Cl N Mo
2 1 1 1
direct
0.500 0.000 0.000
0.000 0.500 0.000
0.000 0.000 0.500
0.500 0.500 0.500
0.000 0.000 0.000
```

Uncorrected formation energy, meV/atom: 1212.0
Space-group type: P4/mmm
Relative energy among the computed polymorphs, meV per atom: 124

***

8.
This record from the Alexandria database describes crystalline CsBaBiOs at its relaxed geometry. The functional is PBE.

Structure (POSCAR):
```
CsBaBiOs
1.0
-3.864 -1.335 0.412
0.759 -1.036 3.763
-0.986 9.794 2.895
Ba Os Bi Cs
1 1 1 1
direct
0.671 0.000 0.004
0.539 0.000 0.726
0.058 0.500 0.767
0.401 0.500 0.439
```

Space-group type: Pm
Formation enthalpy at 0 K, eV/atom: 0.5275
Relative energy among the computed polymorphs, meV per atom: 232

***

9.
This record from the Alexandria database describes crystalline Ba2Tl3Ga at its relaxed geometry. The functional is PBE.

Structure (POSCAR):
```
Ba2Tl3Ga
1.0
4.921 0.000 2.061
2.280 6.133 1.462
0.105 -0.292 6.655
Ba Tl Ga
2 3 1
direct
0.544 0.203 0.709
0.453 0.797 0.298
0.161 0.761 0.917
0.826 0.241 0.107
0.851 0.600 0.699
0.165 0.399 0.271
```

Space-group type: Cm
Formation enthalpy at 0 K, eV/atom: -0.3804

***

10.
This record from the Alexandria database describes crystalline AcScAl2Ga2 at its relaxed geometry. The functional is PBE.

Structure (POSCAR):
```
AcScAl2Ga2
1.0
4.510 0.000 0.000
-2.255 3.906 0.000
0.000 0.000 7.471
Al Ga Ac Sc
2 2 1 1
direct
0.667 0.333 0.299
0.333 0.667 0.701
0.333 0.667 0.300
0.667 0.333 0.700
0.000 0.000 0.000
0.000 0.000 0.500
```

Space-group type: P-3m1
Formation enthalpy at 0 K, eV/atom: -0.5065

***

11.
This record from the Alexandria database describes crystalline La2TbGe3Ir4 at its relaxed geometry. The functional is PBE.

Structure (POSCAR):
```
La2TbGe3Ir4
1.0
-2.017 1.533 -3.397
-3.558 -1.942 1.236
-2.961 9.180 5.902
La Ir Ge Tb
2 4 3 1
direct
0.500 0.000 0.233
0.000 0.500 0.767
0.500 0.000 0.660
0.000 0.000 0.000
0.000 0.500 0.340
0.500 0.500 0.000
0.500 0.000 0.880
0.000 0.000 0.500
0.000 0.500 0.120
0.500 0.500 0.500
```

Space-group type: P-4m2
Formation enthalpy at 0 K, eV/atom: -0.8110

***

12.
This record from the Alexandria database describes crystalline BaAlAu11 at its relaxed geometry. The functional is PBE.

Structure (POSCAR):
```
BaAlAu11
1.0
-5.461 1.001 0.400
-3.325 -6.358 2.187
-1.951 2.250 6.471
Au Al Ba
11 1 1
direct
0.500 0.000 0.500
0.477 0.764 0.219
0.329 0.650 0.646
0.975 0.650 0.354
0.671 0.350 0.354
0.000 0.000 0.500
0.000 0.500 0.000
0.025 0.350 0.646
0.696 0.764 0.781
0.304 0.236 0.219
0.523 0.236 0.781
0.500 0.500 0.000
0.000 0.000 0.000
```

Space-group type: C2/m
Formation enthalpy at 0 K, eV/atom: -0.2720

***

13.
This record from the Alexandria database describes crystalline Rb3SrNp2Se6 at its relaxed geometry. The functional is PBE.

Structure (POSCAR):
```
Rb3SrNp2Se6
1.0
-4.138 -1.620 -6.121
-2.035 -2.705 6.764
-2.365 7.960 1.056
Se Rb Np Sr
6 3 2 1
direct
0.577 0.934 0.802
0.291 0.291 0.804
0.423 0.066 0.198
0.709 0.709 0.196
0.066 0.423 0.198
0.934 0.577 0.802
0.839 0.161 0.500
0.161 0.839 0.500
0.500 0.500 0.500
0.333 0.667 0.000
0.667 0.333 0.000
0.000 0.000 0.000
```

Uncorrected formation energy, meV/atom: -1388.7
Space-group type: C2/m

***

14.
This record from the Alexandria database describes crystalline SmPuS at its relaxed geometry. The functional is PBE.

Structure (POSCAR):
```
SmPuS
1.0
-1.516 1.064 3.035
0.746 -1.679 3.043
8.880 7.334 3.947
S Pu Sm
2 2 2
direct
0.433 0.433 0.702
0.567 0.567 0.298
0.185 0.185 0.446
0.815 0.815 0.554
0.047 0.047 0.858
0.953 0.953 0.142
```

Uncorrected formation energy, meV/atom: -988.0
Space-group type: R-3m

***

15.
This record from the Alexandria database describes crystalline CsLi2NdBr6 at its relaxed geometry. The functional is PBE.

Structure (POSCAR):
```
CsLi2NdBr6
1.0
7.908 0.296 -1.130
4.265 6.819 -0.267
3.025 2.718 6.954
Br Cs Li Nd
6 1 2 1
direct
0.669 0.237 0.199
0.612 0.341 0.690
0.153 0.779 0.910
0.553 0.852 0.140
0.069 0.376 0.791
0.097 0.274 0.352
0.561 0.882 0.660
0.901 0.148 0.921
0.717 0.446 0.333
0.329 0.325 0.018
```

Uncorrected formation energy, meV/atom: -1724.8
Space-group type: P1

***

16.
This record from the Alexandria database describes crystalline Sc2Fe5Si2W at its relaxed geometry. The functional is PBE.

Structure (POSCAR):
```
Sc2Fe5Si2W
1.0
3.052 0.000 0.000
0.000 9.340 0.000
0.000 0.000 9.340
Si Fe W Sc
4 10 2 4
direct
0.000 0.375 0.125
0.000 0.625 0.875
0.000 0.125 0.625
0.000 0.875 0.375
0.500 0.566 0.705
0.500 0.066 0.795
0.500 0.934 0.205
0.500 0.295 0.566
0.500 0.705 0.434
0.500 0.000 0.500
0.500 0.205 0.066
0.500 0.434 0.295
0.500 0.795 0.934
0.500 0.500 0.000
0.000 0.500 0.500
0.000 0.000 0.000
0.000 0.672 0.172
0.000 0.828 0.672
0.000 0.328 0.828
0.000 0.172 0.328
```

Uncorrected formation energy, meV/atom: -342.0
Space-group type: P4/mbm

***

17.
This record from the Alexandria database describes crystalline Ca2AlSi at its relaxed geometry. The functional is PBE.

Structure (POSCAR):
```
Ca2AlSi
1.0
-1.276 -1.209 2.766
-0.897 -2.715 -1.601
7.750 -3.713 1.954
Si Ca Al
1 2 1
direct
0.500 0.500 0.250
0.000 0.000 0.019
0.000 0.000 0.481
0.500 0.500 0.750
```

Uncorrected formation energy, meV/atom: -215.0
Space-group type: P4/mmm

***

18.
This record from the Alexandria database describes crystalline Ni2MoI at its relaxed geometry. The functional is PBE.

Structure (POSCAR):
```
Ni2MoI
1.0
0.000 3.160 3.160
3.160 0.000 3.160
3.160 3.160 0.000
Mo Ni I
1 2 1
direct
0.000 0.000 0.000
0.250 0.250 0.250
0.750 0.750 0.750
0.500 0.500 0.500
```

Uncorrected formation energy, meV/atom: 953.4
Space-group type: Fm-3m
Relative energy among the computed polymorphs, meV per atom: 190

***

19.
This record from the Alexandria database describes crystalline Ac2SnPd3 at its relaxed geometry. The functional is PBE.

Structure (POSCAR):
```
Ac2SnPd3
1.0
-5.963 -0.838 1.873
2.690 -1.791 5.416
1.396 8.880 -1.023
Pd Ac Sn
6 4 2
direct
0.663 0.169 0.831
0.833 0.833 0.666
0.831 0.337 0.169
0.169 0.663 0.831
0.167 0.167 0.334
0.337 0.831 0.169
0.250 0.750 0.500
0.750 0.250 0.500
0.762 0.762 0.000
0.238 0.238 0.000
0.666 0.666 0.331
0.334 0.334 0.669
```

Space-group type: Fmmm
Formation enthalpy at 0 K, eV/atom: -0.7629
Relative energy among the computed polymorphs, meV per atom: 34

***

20.
This record from the Alexandria database describes crystalline TcSb2OsI at its relaxed geometry. The functional is PBE.

Structure (POSCAR):
```
TcSb2OsI
1.0
5.062 0.000 0.000
0.000 5.062 0.000
0.000 0.000 5.670
Tc Os Sb I
1 1 2 1
direct
0.500 0.500 0.500
0.000 0.000 0.000
0.000 0.500 0.000
0.500 0.000 0.000
0.000 0.000 0.500
```

Uncorrected formation energy, meV/atom: 1370.2
Space-group type: P4/mmm
Relative energy among the computed polymorphs, meV per atom: 0

***

21.
This record from the Alexandria database describes crystalline LiDy3Pb12 at its relaxed geometry. The functional is PBE.

Structure (POSCAR):
```
LiDy3Pb12
1.0
-1.137 4.130 -2.248
-0.452 -2.398 -4.177
-19.076 -3.145 3.868
Pb Dy Li
12 3 1
direct
0.500 0.000 0.625
0.000 0.500 0.375
0.500 0.500 0.500
0.500 0.000 0.375
0.500 0.500 0.000
0.500 0.000 0.879
0.500 0.500 0.247
0.000 0.500 0.121
0.000 0.500 0.625
0.500 0.500 0.753
0.000 0.500 0.879
0.500 0.000 0.121
0.000 0.000 0.500
0.000 0.000 0.747
0.000 0.000 0.253
0.000 0.000 0.000
```

Space-group type: P4/mmm
Formation enthalpy at 0 K, eV/atom: -0.2399

***

22.
This record from the Alexandria database describes crystalline AgPt2W at its relaxed geometry. The functional is PBE.

Structure (POSCAR):
```
AgPt2W
1.0
0.000 3.191 3.191
3.191 0.000 3.191
3.191 3.191 0.000
Ag Pt W
1 2 1
direct
0.000 0.000 0.000
0.750 0.750 0.750
0.250 0.250 0.250
0.500 0.500 0.500
```

Space-group type: Fm-3m
Formation enthalpy at 0 K, eV/atom: 0.1658
Relative energy among the computed polymorphs, meV per atom: 372

***

23.
This record from the Alexandria database describes crystalline NiH3Pb at its relaxed geometry. The functional is PBE.

Structure (POSCAR):
```
NiH3Pb
1.0
4.091 0.000 0.000
0.000 4.091 0.000
0.000 0.000 4.091
H Ni Pb
3 1 1
direct
0.000 0.000 0.500
0.000 0.500 0.000
0.500 0.000 0.000
0.500 0.500 0.500
0.000 0.000 0.000
```

Space-group type: Pm-3m
Relative energy among the computed polymorphs, meV per atom: 888

***

24.
This record from the Alexandria database describes crystalline SnAs2SeF at its relaxed geometry. The functional is PBE.

Structure (POSCAR):
```
SnAs2SeF
1.0
-2.845 0.892 3.293
-1.316 -4.243 0.012
3.841 -1.180 3.638
Se As Sn F
1 2 1 1
direct
0.000 0.000 0.500
0.500 0.000 0.000
0.000 0.500 0.000
0.500 0.500 0.500
0.000 0.000 0.000
```

Uncorrected formation energy, meV/atom: 104.1
Space-group type: P4/mmm
Relative energy among the computed polymorphs, meV per atom: 0

***

Number 1: calculated volume 35.97 A^3/atom. Number 2: calculated volume 16.18 A^3/atom. Number 3: calculated volume 28.55 A^3/atom. Number 4: calculated volume 19.87 A^3/atom. Number 5: calculated volume 10.31 A^3/atom. Number 6: calculated volume 18.69 A^3/atom. Number 7: calculated volume 21.79 A^3/atom. Number 8: calculated volume 41.13 A^3/atom. Number 9: calculated volume 33.37 A^3/atom. Number 10: calculated volume 21.93 A^3/atom. Number 11: calculated volume 20.30 A^3/atom. Number 12: calculated volume 20.07 A^3/atom. Number 13: calculated volume 32.95 A^3/atom. Number 14: calculated volume 21.89 A^3/atom. Number 15: calculated volume 38.20 A^3/atom. Number 16: calculated volume 13.31 A^3/atom. Number 17: calculated volume 23.66 A^3/atom. Number 18: calculated volume 15.77 A^3/atom. Number 19: calculated volume 26.39 A^3/atom. Number 20: calculated volume 29.06 A^3/atom. Number 21: calculated volume 28.83 A^3/atom. Number 22: calculated volume 16.24 A^3/atom. Number 23: calculated volume 13.69 A^3/atom. Number 24: calculated volume 21.40 A^3/atom.